Pr2AsPPd6 PBE-GGA optimized geometry; ΔE_f = -0.7734 eV/atom
1.0
5.5685 0.0000 0.0000
0.0000 8.0890 0.0000
0.0000 0.0000 8.8255
Pd Pr As P
12 4 2 2
Direct
0.7489 0.9986 0.0000
0.2467 0.5227 0.0000
0.5000 0.1228 0.2512
0.7511 0.0014 0.5000
0.7467 0.4773 0.5000
0.7533 0.5227 0.0000
0.0000 0.8772 0.7512
0.2533 0.4773 0.5000
0.2511 0.9986 0.0000
0.5000 0.1228 0.7488
0.2489 0.0014 0.5000
0.0000 0.8772 0.2488
0.5000 0.7345 0.7426
0.0000 0.2655 0.7574
0.0000 0.2655 0.2426
0.5000 0.7345 0.2574
0.5000 0.2720 0.0000
0.0000 0.7280 0.5000
0.0000 0.7566 0.0000
0.5000 0.2434 0.5000


AlVBMo2 PBE-GGA optimized geometry; ΔE_f = 0.2096 eV/atom
1.0
-1.2057 -3.9278 1.1712
3.3197 -1.4253 -1.3627
1.8185 0.5814 3.8220
Al Mo B V
1 2 1 1
Direct
0.0000 0.5000 0.0000
0.5000 0.0000 0.0000
0.0000 0.0000 0.5000
0.0000 0.0000 0.0000
0.5000 0.5000 0.5000


Na2PuWN4 PBE-GGA optimized geometry; E = -8.507 eV per atom
1.0
-0.7214 3.0533 -0.7738
-5.3410 -0.8475 1.6353
3.0912 1.9359 4.7566
W N Pu Na
1 4 1 2
Direct
0.0000 0.0000 0.0000
0.0000 0.7580 0.1930
0.0000 0.2420 0.8070
0.5000 0.7827 0.8084
0.5000 0.2173 0.1916
0.5000 0.5000 0.0000
0.0000 0.5000 0.5000
0.5000 0.0000 0.5000


ZnReBr3 PBE-GGA optimized geometry; E = -2.990 eV per atom
1.0
5.2071 0.0000 0.0000
0.0000 5.2071 0.0000
0.0000 0.0000 5.2071
Re Br Zn
1 3 1
Direct
0.5000 0.5000 0.5000
0.0000 0.5000 0.0000
0.5000 0.0000 0.0000
0.0000 0.0000 0.5000
0.0000 0.0000 0.0000